1.
4
Lattice="-2.442 -0.895 0.571 -0.308 -2.364 1.186 -0.657 1.365 5.538" Properties=species:S:1:pos:R:3 comment="LiSiH2 | Alexandria | PBE | relaxed" e_above_lowest_polymorph_ev_per_atom=0.000 spacegroup=R-3m dos_ef_per_ev_fu=0.37 pbc="T T T"
H -0.737 0.609 4.011
H -2.670 -2.504 3.284
Si 0.000 0.000 0.000
Li -1.704 -0.948 3.648


2.
12
Lattice="3.569 0.000 0.562 1.390 8.173 2.787 -0.010 -0.003 11.688" Properties=species:S:1:pos:R:3 comment="Y5Ho2Mg5 | Alexandria | PBE | relaxed" spacegroup=C2/m dos_ef_per_ev_fu=13.65 delta_e_f_ev_per_fu=-0.53 pbc="T T T"
Y 2.475 4.085 7.518
Y 1.625 2.519 1.296
Y 2.793 7.071 5.498
Y 2.157 1.099 9.539
Y 3.324 5.652 13.741
Ho 3.801 3.975 10.714
Ho 1.149 4.195 4.323
Mg 4.124 6.868 8.657
Mg 1.946 6.743 10.875
Mg 3.003 1.427 4.162
Mg 0.825 1.303 6.380
Mg 0.000 0.000 0.000


3.
6
Lattice="1.857 5.338 -0.009 -1.857 5.338 -0.009 0.000 4.396 8.032" Properties=species:S:1:pos:R:3 comment="CaSi | Alexandria | PBE | relaxed" spacegroup=Cm e_form_raw_mev_per_atom=-260 dos_ef_per_ev_fu=0.82 pbc="T T T"
Ca 0.000 4.753 7.841
Ca 0.000 4.712 3.005
Ca 0.000 7.449 5.074
Si 0.000 10.352 5.538
Si 0.000 1.720 2.497
Si 0.000 8.066 1.443


4.
8
Lattice="4.604 0.014 2.302 1.740 5.056 2.248 -0.021 -0.083 5.799" Properties=species:S:1:pos:R:3 comment="Na3TcN4 | Alexandria | PBE | relaxed" spacegroup=C2 e_form_raw_mev_per_atom=-40 dos_ef_per_ev_fu=0.63 pbc="T T T"
Na 1.566 1.665 2.617
Na 0.069 0.178 5.619
Na 4.926 3.814 7.391
Tc 3.293 2.878 4.909
N 4.091 2.569 3.360
N 2.940 4.484 5.560
N 2.208 1.269 5.734
N 3.283 1.287 6.294


Number 1: total energy -3.4893 eV per atom. Number 2: total energy -4.1653 eV per atom. Number 3: total energy -3.9725 eV per atom. Number 4: total energy -5.9930 eV per atom.